Record 1
An optimized crystal structure of BeCoBr. Source: Alexandria via LeMat-Bulk, functional PBE.

a = 9.074 Å, b = 3.315 Å, c = 3.428 Å
α = 90.00°, β = 100.93°, γ = 90.24°
Fractional positions:
Be 0.553 0.138 0.800
Be 0.720 0.140 0.384
Co 0.550 0.638 0.299
Co 0.745 0.640 0.897
Br 0.350 0.635 0.698
Br 0.945 0.142 0.996

Offset from the most stable computed form = 5.3 kJ/mol of atoms
Raw formation energy = -0.13 eV/atom
Magnetization = 2.4 μB/cell

***

Record 2
An optimized crystal structure of BeCoBr. Source: Alexandria via LeMat-Bulk, functional PBE.

a = 3.965 Å, b = 3.965 Å, c = 3.965 Å
α = 60.00°, β = 60.00°, γ = 60.00°
Fractional positions:
Be 0.750 0.750 0.750
Co 0.500 0.500 0.500
Br 0.000 0.000 0.000

Offset from the most stable computed form = 108.8 kJ/mol of atoms
Raw formation energy = 0.95 eV/atom
Magnetization = 0.8 μB/cell

***

Record 3
An optimized crystal structure of Be4CoBr. Source: Alexandria via LeMat-Bulk, functional PBE.

a = 4.485 Å, b = 4.485 Å, c = 4.485 Å
α = 60.00°, β = 60.00°, γ = 60.00°
Fractional positions:
Be 0.883 0.372 0.372
Be 0.372 0.372 0.883
Be 0.372 0.883 0.372
Be 0.372 0.372 0.372
Co 0.000 0.000 0.000
Br 0.750 0.750 0.750

Raw formation energy = 0.58 eV/atom
Magnetization = 0.8 μB/cell

***

Record 4
An optimized crystal structure of BeCoBr2. Source: Alexandria via LeMat-Bulk, functional PBE.

a = 5.177 Å, b = 5.171 Å, c = 5.172 Å
α = 143.21°, β = 100.53°, γ = 90.90°
Fractional positions:
Be 0.250 0.750 0.500
Co 0.750 0.250 0.500
Br 0.018 0.018 0.000
Br 0.482 0.482 0.000

Offset from the most stable computed form = 57.2 kJ/mol of atoms
Raw formation energy = 0.52 eV/atom
Magnetization = 1.4 μB/cell